1 | Below is crystalline V2HgO at its relaxed geometry, with properties calculated at the PBE with a Hubbard U level. Values from VASP.

Properties
total magnetic moment	5.9	μB per formula unit
space-group type	I-42d (122)

```
&SYSTEM
  ibrav = 0, nat = 8, ntyp = 3
/
ATOMIC_SPECIES
V 50.94 V.upf
Hg 200.59 Hg.upf
O 16.00 O.upf
CELL_PARAMETERS angstrom
-3.156 3.156 3.578
3.156 -3.156 3.578
3.156 3.156 -3.578
ATOMIC_POSITIONS angstrom
V 1.578 0.861 -0.895
V 2.295 -1.578 4.473
V 1.578 2.295 2.684
V 0.861 4.734 0.895
Hg 3.156 0.000 1.789
Hg 0.000 0.000 3.578
O 0.000 0.000 0.000
O 0.000 3.156 1.789
```

---

2 | Below is crystalline V2HgO at its relaxed geometry, with properties calculated at the PBE with a Hubbard U level. Values from VASP.

Properties
total magnetic moment	6.8	μB per formula unit
space-group type	Fm-3m (225)

```
&SYSTEM
  ibrav = 0, nat = 4, ntyp = 3
/
ATOMIC_SPECIES
V 50.94 V.upf
Hg 200.59 Hg.upf
O 16.00 O.upf
CELL_PARAMETERS angstrom
0.000 3.220 3.220
3.220 0.000 3.220
3.220 3.220 0.000
ATOMIC_POSITIONS angstrom
V 1.610 1.610 1.610
V 4.830 4.830 4.830
Hg 0.000 0.000 0.000
O 3.220 3.220 3.220
```

---

How do the energies compare? Relative to the most stable structure, in eV/atom: 1 0.000; 2 0.991.

---

1 | Below is crystalline VHg2O4 at its relaxed geometry, with properties calculated at the PBE with a Hubbard U level. Values from VASP.

Properties
total magnetic moment	0.9	μB per formula unit
space-group type	I4/mmm (139)

```
&SYSTEM
  ibrav = 0, nat = 7, ntyp = 3
/
ATOMIC_SPECIES
V 50.94 V.upf
Hg 200.59 Hg.upf
O 16.00 O.upf
CELL_PARAMETERS angstrom
-2.032 2.032 5.592
2.032 -2.032 5.592
2.032 2.032 -5.592
ATOMIC_POSITIONS angstrom
V 0.000 0.000 0.000
Hg 0.000 0.000 4.004
Hg 0.000 0.000 7.181
O 2.032 0.000 0.000
O 0.000 0.000 1.856
O 0.000 2.032 0.000
O 0.000 0.000 9.329
```

---

2 | Below is crystalline VHg2O4 at its relaxed geometry, with properties calculated at the PBE with a Hubbard U level. Values from VASP.

Properties
total magnetic moment	0.0	μB per formula unit
space-group type	P2_1/c (14)

```
&SYSTEM
  ibrav = 0, nat = 56, ntyp = 3
/
ATOMIC_SPECIES
V 50.94 V.upf
Hg 200.59 Hg.upf
O 16.00 O.upf
CELL_PARAMETERS angstrom
3.740 0.000 0.000
0.000 16.857 0.000
-3.704 0.000 14.721
ATOMIC_POSITIONS angstrom
V -0.011 3.013 1.775
V -1.863 5.416 9.136
V -1.822 11.330 12.828
V 0.030 13.956 5.468
V 0.006 2.901 9.254
V 1.858 5.527 1.893
V 1.899 11.441 5.586
V 0.047 13.844 12.946
Hg -1.852 0.000 7.361
Hg 0.000 8.429 0.000
Hg -0.003 8.523 3.682
Hg -1.855 16.763 11.042
Hg -1.816 3.002 12.881
Hg 0.036 5.427 5.520
Hg 1.386 11.275 1.824
Hg -0.466 14.011 9.185
Hg 1.870 0.000 0.000
Hg 0.018 8.429 7.361
Hg 0.503 2.847 5.537
Hg -1.349 5.582 12.898
Hg 0.001 11.430 9.202
Hg 1.853 13.855 1.841
Hg 1.891 0.094 3.679
Hg 0.039 8.334 11.040
O -0.017 2.147 0.339
O -1.869 6.282 7.700
O -1.863 3.423 9.185
O -0.011 5.005 1.824
O 0.022 9.516 1.835
O -1.830 15.770 9.196
O 0.014 1.932 3.085
O -1.838 6.496 10.445
O -1.804 10.466 11.393
O 0.048 14.819 4.032
O -2.159 0.865 12.875
O -0.307 7.563 5.515
O 0.027 11.965 5.519
O -1.825 13.321 12.880
O -1.834 10.243 14.137
O 0.018 15.043 6.777
O 0.019 1.814 7.945
O 1.871 6.614 0.584
O 1.861 3.537 1.842
O 0.009 4.892 9.202
O 0.343 9.294 9.207
O 2.195 15.992 1.846
O -0.011 2.038 10.689
O 1.841 6.391 3.328
O 1.875 10.361 4.276
O 0.023 14.925 11.637
O 1.867 1.087 5.526
O 0.015 7.341 12.886
O 0.047 11.852 12.897
O 1.899 13.434 5.537
O 1.905 10.575 7.022
O 0.053 14.710 14.382
```

---

How do the energies compare? Relative to the most stable structure, in eV/atom: 1 0.279; 2 0.000.

---

1 | Below is crystalline VHg2O4 at its relaxed geometry, with properties calculated at the PBE with a Hubbard U level. Values from VASP.

Properties
total magnetic moment	0.0	μB per formula unit
space-group type	I-42m (121)

```
&SYSTEM
  ibrav = 0, nat = 7, ntyp = 3
/
ATOMIC_SPECIES
V 50.94 V.upf
Hg 200.59 Hg.upf
O 16.00 O.upf
CELL_PARAMETERS angstrom
-3.066 3.066 3.041
3.066 -3.066 3.041
3.066 3.066 -3.041
ATOMIC_POSITIONS angstrom
V 0.000 0.000 0.000
Hg 3.066 0.000 0.000
Hg 0.000 3.066 0.000
O 1.031 1.031 -1.000
O 2.035 -2.035 4.042
O 2.035 2.035 2.041
O -2.035 2.035 4.042
```

---

2 | Below is crystalline VHg2O4 at its relaxed geometry, with properties calculated at the PBE with a Hubbard U level. Values from VASP.

Properties
total magnetic moment	0.0	μB per formula unit
space-group type	C2/m (12)

```
&SYSTEM
  ibrav = 0, nat = 7, ntyp = 3
/
ATOMIC_SPECIES
V 50.94 V.upf
Hg 200.59 Hg.upf
O 16.00 O.upf
CELL_PARAMETERS angstrom
6.412 -1.503 0.000
6.412 1.503 0.000
-1.788 0.000 4.863
ATOMIC_POSITIONS angstrom
V 0.000 0.000 0.000
Hg 3.366 0.000 1.633
Hg 7.671 0.000 3.231
O 0.081 0.000 4.691
O 4.518 0.000 3.619
O 6.519 0.000 1.244
O 10.956 0.000 0.172
```

---

How do the energies compare? Relative to the most stable structure, in eV/atom: 1 0.035; 2 0.000.